# LiMnPtO6

A relaxed LiMnPtO6 crystal (PBE with a Hubbard U, Alexandria).

Properties
Raw total energy in hartree per atom: -0.213
Crystal system: trigonal
Calculated volume in Å³/cell: 196

Lattice parameters (Å, degrees): 5.102 5.102 8.703 90.00 90.00 120.00
Last column: magnetic moment on the atom in μB.
Element x y z (fractional)
O 0.640 0.648 0.631  -0.34
O 0.640 0.992 0.869  -0.34
O 0.360 0.008 0.131  -0.34
O 0.992 0.352 0.131  -0.34
O 0.352 0.360 0.869  -0.34
O 0.992 0.640 0.369  -0.34
O 0.008 0.360 0.631  -0.34
O 0.648 0.640 0.131  -0.34
O 0.352 0.992 0.631  -0.34
O 0.360 0.352 0.369  -0.34
O 0.648 0.008 0.369  -0.34
O 0.008 0.648 0.869  -0.34
Mn 0.333 0.667 0.750  3.10
Mn 0.667 0.333 0.250  3.10
Li 0.000 0.000 0.000  0.00
Li 0.000 0.000 0.500  0.00
Pt 0.667 0.333 0.750  -0.53
Pt 0.333 0.667 0.250  -0.53